Record 1
Computed, not measured: a relaxed structure of KSnSb3 at the PBE level of DFT.

Cell lengths 5.7703, 5.7703, 5.7703 Å; angles 90.00, 90.00, 90.00 degrees
With the nearest neighbours (Å) after each atom.
Atoms (fractional coordinates):
Sb: 0.0000 0.5000 0.0000  2 K 2.89
Sb: 0.0000 0.0000 0.5000  2 K 2.89
Sb: 0.5000 0.0000 0.0000  2 K 2.89
K: 0.0000 0.0000 0.0000  6 Sb 2.89
Sn: 0.5000 0.5000 0.5000  12 Sb 4.08

Values from the calculation:
Total magnetization (μB/f.u.): 0.00
ΔE_f (raw) (eV/atom): 1.1747
Offset from the most stable computed form (eV/f.u.): 6.291
Energy (eV/atom): -2.32
ρ (Mg/m³): 4.5

***

Record 2
Computed, not measured: a relaxed structure of KSnSb at the PBE level of DFT.

Cell lengths 3.9774, 3.9774, 6.9547 Å; angles 106.62, 106.62, 90.00 degrees
With the nearest neighbours (Å) after each atom.
Atoms (fractional coordinates):
Sb: 0.6992 0.6992 0.3985  4 Sn 3.09
K: 0.0014 0.0014 0.0028  5 Sb 3.77-3.84, 5 Sn 3.79-3.81, 4 K 3.98
Sn: 0.2994 0.2994 0.5988  4 Sb 3.09

Values from the calculation:
Total magnetization (μB/f.u.): 0.00
ΔE_f (raw) (eV/atom): -0.2399
Offset from the most stable computed form (eV/f.u.): 0.317
Energy (eV/atom): -3.31
ρ (Mg/m³): 4.6

***

Record 3
Computed, not measured: a relaxed structure of K3Sn4Sb4 at the PBE level of DFT.

Cell lengths 4.5108, 5.8342, 16.4963 Å; angles 100.19, 97.86, 90.00 degrees
With the nearest neighbours (Å) after each atom.
Atoms (fractional coordinates):
K: 0.3608 0.8608 0.7216  6 Sb 3.86, 6 Sn 4.19-4.24
K: 0.6392 0.1392 0.2784  6 Sb 3.86, 6 Sn 4.19-4.24
K: 0.0000 0.0000 0.0000  8 Sn 3.97, 4 Sb 4.42
Sn: 0.7959 0.2959 0.5919  5 Sb 2.95-3.24
Sn: 0.4543 0.4543 0.9086  2 Sb 2.92, 1 Sn 2.94
Sn: 0.5457 0.5457 0.0914  2 Sb 2.92, 1 Sn 2.94
Sn: 0.2041 0.7041 0.4081  5 Sb 2.95-3.24
Sb: 0.2366 0.2366 0.4733  4 Sn 2.95-3.10
Sb: 0.1033 0.6033 0.2066  3 Sn 2.92-3.24
Sb: 0.8967 0.3967 0.7934  3 Sn 2.92-3.24
Sb: 0.7634 0.7634 0.5267  4 Sn 2.95-3.10

Values from the calculation:
Total magnetization (μB/f.u.): 0.00
ΔE_f (raw) (eV/atom): -0.1549
Energy (eV/atom): -3.41
ρ (Mg/m³): 4.2

***

Record 4
Computed, not measured: a relaxed structure of KSnSb2 at the PBE level of DFT.

Cell lengths 4.1805, 5.4956, 7.9570 Å; angles 101.57, 105.23, 90.00 degrees
With the nearest neighbours (Å) after each atom.
Atoms (fractional coordinates):
K: 0.9560 0.4395 0.9120  8 Sb 3.66-3.94
Sn: 0.1941 0.9494 0.3883  3 Sb 2.80-2.83
Sb: 0.5795 0.0154 0.1591  2 Sn 2.80, 1 Sb 3.10
Sb: 0.3729 0.8896 0.7459  1 Sn 2.83, 1 Sb 3.10

Values from the calculation:
Total magnetization (μB/f.u.): 0.00
ΔE_f (raw) (eV/atom): 0.0276
Energy (eV/atom): -3.31
ρ (Mg/m³): 3.9

***

Record 5
Computed, not measured: a relaxed structure of K2SnSb2 at the PBE level of DFT.

Cell lengths 8.0546, 8.0546, 5.5713 Å; angles 90.00, 90.00, 90.00 degrees
With the nearest neighbours (Å) after each atom.
Atoms (fractional coordinates):
Sb: 0.3742 0.8742 0.0000  1 Sb 2.87, 2 Sn 3.18
Sb: 0.8742 0.6258 0.0000  1 Sb 2.87, 2 Sn 3.18
Sb: 0.6258 0.1258 0.0000  1 Sb 2.87, 2 Sn 3.18
Sb: 0.1258 0.3742 0.0000  1 Sb 2.87, 2 Sn 3.18
K: 0.1752 0.6752 0.5000  6 Sb 3.59-3.71, 1 K 3.99
K: 0.6752 0.8248 0.5000  6 Sb 3.59-3.71, 1 K 3.99
K: 0.8248 0.3249 0.5000  6 Sb 3.59-3.71, 1 K 3.99
K: 0.3249 0.1752 0.5000  6 Sb 3.59-3.71, 1 K 3.99
Sn: 0.0000 0.0000 0.0000  4 Sb 3.18
Sn: 0.5000 0.5000 0.0000  4 Sb 3.18

Values from the calculation:
Total magnetization (μB/f.u.): 0.00
ΔE_f (raw) (eV/atom): -0.3002
Energy (eV/atom): -3.19
ρ (Mg/m³): 4.0

***

Record 6
Computed, not measured: a relaxed structure of K3Sn5Sb2 at the PBE level of DFT.

Cell lengths 7.1214, 10.6848, 10.6848 Å; angles 78.45, 70.53, 70.53 degrees
With the nearest neighbours (Å) after each atom.
Atoms (fractional coordinates):
K: 0.2500 0.0000 0.0000  4 Sb 3.52, 2 K 3.56, 2 Sn 3.77
K: 0.7500 0.0000 0.0000  4 Sb 3.52, 2 K 3.56, 2 Sn 3.77
K: 0.3771 0.3831 0.8627  3 Sb 3.60-3.87, 3 Sn 3.87-3.97
K: 0.6229 0.6169 0.1373  3 Sb 3.60-3.87, 3 Sn 3.87-3.97
K: 0.8771 0.8627 0.3831  3 Sb 3.60-3.87, 3 Sn 3.87-3.97
K: 0.1229 0.1373 0.6169  3 Sb 3.60-3.87, 3 Sn 3.87-3.97
Sn: 0.2500 0.5000 0.5000  4 Sn 3.07
Sn: 0.7500 0.5000 0.5000  4 Sn 3.07
Sn: 0.5023 0.7477 0.7477  2 Sn 3.10, 2 Sb 3.11
Sn: 0.9977 0.2523 0.2523  2 Sn 3.10, 2 Sb 3.11
Sn: 0.4977 0.2523 0.2523  2 Sn 3.10, 2 Sb 3.11
Sn: 0.0023 0.7477 0.7477  2 Sn 3.10, 2 Sb 3.11
Sn: 0.1224 0.5044 0.2508  1 Sb 3.02, 4 Sn 3.07-3.10
Sn: 0.8776 0.4956 0.7492  1 Sb 3.02, 4 Sn 3.07-3.10
Sn: 0.6224 0.2508 0.5044  1 Sb 3.02, 4 Sn 3.07-3.10
Sn: 0.3776 0.7492 0.4956  1 Sb 3.02, 4 Sn 3.07-3.10
Sb: 0.1501 0.6982 0.0015  3 Sn 3.02-3.11
Sb: 0.8499 0.3018 0.9985  3 Sn 3.02-3.11
Sb: 0.6501 0.0015 0.6982  3 Sn 3.02-3.11
Sb: 0.3499 0.9985 0.3018  3 Sn 3.02-3.11

Values from the calculation:
Total magnetization (μB/f.u.): 0.00
ΔE_f (raw) (eV/atom): -0.2040
Energy (eV/atom): -3.36
ρ (Mg/m³): 4.4